1.
A relaxed structure of K2CuPb, computed with PBEsol.

Calculated values
- magnetization (μB per atom) = 0.0000
- energy relative to the elements (eV/atom) = 0.348
- total DFT energy (no corrections) (eV per atom) = -2.302

Lattice parameters (Å, degrees): 4.560 4.560 5.578 90.00 90.00 90.00
Fractional positions:
K  0.000  0.500  0.000
K  0.500  0.000  0.000
Cu  0.000  0.000  0.500
Pb  0.500  0.500  0.500

2.
A relaxed structure of KCuPb, computed with PBEsol.

Calculated values
- magnetization (μB per atom) = 0.0000
- energy relative to the elements (eV/atom) = 0.641
- total DFT energy (no corrections) (eV per atom) = -2.514

Lattice parameters (Å, degrees): 5.051 5.051 5.051 60.00 60.00 60.00
Fractional positions:
K  0.000  0.000  0.000
Cu  0.500  0.500  0.500
Pb  0.250  0.250  0.250

3.
A relaxed structure of K2CuPb, computed with PBEsol.

Calculated values
- magnetization (μB per atom) = 0.0000
- energy relative to the elements (eV/atom) = 0.156
- total DFT energy (no corrections) (eV per atom) = -2.494

Lattice parameters (Å, degrees): 3.769 3.769 10.100 90.00 90.00 90.00
Fractional positions:
K  0.000  0.000  0.000
K  0.500  0.500  0.401
Cu  0.000  0.000  0.661
Pb  0.500  0.500  0.740

4.
A relaxed structure of KCuPb, computed with PBEsol.

Calculated values
- magnetization (μB per atom) = 0.0000
- energy relative to the elements (eV/atom) = 0.158
- total DFT energy (no corrections) (eV per atom) = -2.998

Lattice parameters (Å, degrees): 6.675 6.675 6.675 147.94 147.94 45.98
Fractional positions:
K  0.000  0.000  0.000
Cu  0.287  0.287  0.000
Pb  0.718  0.718  0.000

5.
A relaxed structure of K3CuPd, computed with PBEsol.

Calculated values
- magnetization (μB per atom) = 0.0366
- energy relative to the elements (eV/atom) = 0.630
- total DFT energy (no corrections) (eV per atom) = -2.109

Lattice parameters (Å, degrees): 5.830 5.830 5.830 90.00 90.00 90.00
Fractional positions:
K  0.000  0.000  0.500
K  0.000  0.500  0.000
K  0.500  0.000  0.000
Cu  0.000  0.000  0.000
Pd  0.500  0.500  0.500

6.
A relaxed structure of KCuPdSe5, computed with PBEsol.

Calculated values
- magnetization (μB per atom) = 0.0000
- total DFT energy (no corrections) (eV per atom) = -4.254
- formation energy from raw total energies (eV per atom) = -0.420

Lattice parameters (Å, degrees): 6.096 7.242 8.810 90.00 102.94 90.00
Fractional positions:
K  0.248  0.250  0.455
K  0.752  0.750  0.545
Cu  0.370  0.250  0.895
Cu  0.630  0.750  0.105
Pd  0.000  0.000  0.000
Pd  0.000  0.500  0.000
Se  0.176  0.511  0.775
Se  0.176  0.989  0.775
Se  0.208  0.750  0.399
Se  0.238  0.750  0.134
Se  0.466  0.750  0.837
Se  0.534  0.250  0.163
Se  0.762  0.250  0.866
Se  0.792  0.250  0.601
Se  0.824  0.011  0.225
Se  0.824  0.489  0.225

7.
A relaxed structure of KCu2Pt, computed with PBEsol.

Calculated values
- magnetization (μB per atom) = 0.0000
- energy relative to the elements (eV/atom) = 0.481
- total DFT energy (no corrections) (eV per atom) = -3.711
- energy above the lowest structure with this stoichiometry (eV/atom) = 0.2523

Lattice parameters (Å, degrees): 9.762 9.762 9.762 16.40 16.40 16.40
Fractional positions:
K  0.000  0.000  0.000
Cu  0.239  0.239  0.239
Cu  0.761  0.761  0.761
Pt  0.500  0.500  0.500

8.
A relaxed structure of KCuPt2, computed with PBEsol.

Calculated values
- magnetization (μB per atom) = 0.0001
- energy relative to the elements (eV/atom) = 0.549
- total DFT energy (no corrections) (eV per atom) = -4.300
- energy above the lowest structure with this stoichiometry (eV/atom) = 0.3302

Lattice parameters (Å, degrees): 5.184 5.184 5.184 135.41 135.41 64.90
Fractional positions:
K  0.000  0.000  0.000
Cu  0.500  0.500  0.000
Pt  0.250  0.750  0.500
Pt  0.750  0.250  0.500

9.
A relaxed structure of KCuPt2, computed with PBEsol.

Calculated values
- magnetization (μB per atom) = 0.0000
- energy relative to the elements (eV/atom) = 0.492
- total DFT energy (no corrections) (eV per atom) = -4.356
- energy above the lowest structure with this stoichiometry (eV/atom) = 0.2738

Lattice parameters (Å, degrees): 3.928 3.928 4.338 90.00 90.00 90.00
Fractional positions:
K  0.000  0.000  0.000
Cu  0.500  0.500  0.000
Pt  0.000  0.500  0.500
Pt  0.500  0.000  0.500

10.
A relaxed structure of KCuPt2, computed with PBEsol.

Calculated values
- magnetization (μB per atom) = 0.0000
- energy relative to the elements (eV/atom) = 0.580
- total DFT energy (no corrections) (eV per atom) = -4.269
- energy above the lowest structure with this stoichiometry (eV/atom) = 0.3610

Lattice parameters (Å, degrees): 4.680 4.680 4.680 123.96 123.96 83.26
Fractional positions:
K  0.000  0.000  0.000
Cu  0.250  0.750  0.500
Pt  0.500  0.500  0.000
Pt  0.750  0.250  0.500